(1)
# Y2ZrNi2 | Alexandria | GGA-PBEsol | relaxed
data_Y2ZrNi2
_symmetry_space_group_name_H-M 'P 1'
_symmetry_Int_Tables_number 1
_cell_length_a 4.4491
_cell_length_b 6.6765
_cell_length_c 6.6765
_cell_angle_alpha 90.00
_cell_angle_beta 90.00
_cell_angle_gamma 90.00
loop_
_symmetry_equiv_pos_as_xyz
'x,y,z'
loop_
_atom_site_label
_atom_site_fract_x
_atom_site_fract_y
_atom_site_fract_z
Ni1 0.0000 0.3728 0.8728
Y1 0.5000 0.8260 0.3260
Zr1 0.0000 0.5000 0.5000
Ni2 0.0000 0.8728 0.6272
Y2 0.5000 0.3260 0.1740
Y3 0.5000 0.6740 0.8260
Zr2 0.0000 0.0000 0.0000
Ni3 0.0000 0.1272 0.3728
Y4 0.5000 0.1740 0.6740
Ni4 0.0000 0.6272 0.1272
# Theoretical density, g/cm3: 6.47
# E_form, kJ/mol of atoms: -27.36
# Symmetry: P4/mbm, No. 127

(2)
# YZrNi2 | Alexandria | GGA-PBEsol | relaxed
data_YZrNi2
_symmetry_space_group_name_H-M 'P 1'
_symmetry_Int_Tables_number 1
_cell_length_a 3.2364
_cell_length_b 3.2362
_cell_length_c 6.6023
_cell_angle_alpha 90.03
_cell_angle_beta 90.00
_cell_angle_gamma 90.00
loop_
_symmetry_equiv_pos_as_xyz
'x,y,z'
loop_
_atom_site_label
_atom_site_fract_x
_atom_site_fract_y
_atom_site_fract_z
Ni1 0.0000 0.0000 0.2098
Ni2 0.0000 0.0000 0.7902
Zr1 0.5000 0.5000 0.0000
Y1 0.5000 0.5000 0.5000
# Theoretical density, g/cm3: 7.14
# E_form, kJ/mol of atoms: -36.77
# Symmetry: P4/mmm, No. 123

(3)
# Zn3Ni | Alexandria | GGA-PBEsol | relaxed
data_Zn3Ni
_symmetry_space_group_name_H-M 'P 1'
_symmetry_Int_Tables_number 1
_cell_length_a 2.7583
_cell_length_b 2.7583
_cell_length_c 6.6971
_cell_angle_alpha 90.00
_cell_angle_beta 90.00
_cell_angle_gamma 90.00
loop_
_symmetry_equiv_pos_as_xyz
'x,y,z'
loop_
_atom_site_label
_atom_site_fract_x
_atom_site_fract_y
_atom_site_fract_z
Zn1 0.0000 0.0000 0.5000
Ni1 0.0000 0.0000 0.0000
Zn2 0.5000 0.5000 0.2269
Zn3 0.5000 0.5000 0.7731
# Theoretical density, g/cm3: 8.31
# E_form, kJ/mol of atoms: -12.70
# Symmetry: P4/mmm, No. 123

(4)
# Zn3Ni | Alexandria | GGA-PBEsol | relaxed
data_Zn3Ni
_symmetry_space_group_name_H-M 'P 1'
_symmetry_Int_Tables_number 1
_cell_length_a 4.1312
_cell_length_b 4.1312
_cell_length_c 4.1312
_cell_angle_alpha 60.00
_cell_angle_beta 60.00
_cell_angle_gamma 60.00
loop_
_symmetry_equiv_pos_as_xyz
'x,y,z'
loop_
_atom_site_label
_atom_site_fract_x
_atom_site_fract_y
_atom_site_fract_z
Zn1 0.2500 0.2500 0.2500
Ni1 0.0000 0.0000 0.0000
Zn2 0.5000 0.5000 0.5000
Zn3 0.7500 0.7500 0.7500
# Theoretical density, g/cm3: 8.49
# E_form, kJ/mol of atoms: -13.26
# Symmetry: Fm-3m, No. 225

(5)
# Zn3Ni | Alexandria | GGA-PBEsol | relaxed
data_Zn3Ni
_symmetry_space_group_name_H-M 'P 1'
_symmetry_Int_Tables_number 1
_cell_length_a 2.6564
_cell_length_b 4.1632
_cell_length_c 4.5293
_cell_angle_alpha 90.00
_cell_angle_beta 90.00
_cell_angle_gamma 90.00
loop_
_symmetry_equiv_pos_as_xyz
'x,y,z'
loop_
_atom_site_label
_atom_site_fract_x
_atom_site_fract_y
_atom_site_fract_z
Zn1 0.5000 0.0000 0.5014
Ni1 0.0000 0.0000 0.9999
Zn2 0.5000 0.5000 0.8423
Zn3 0.0000 0.5000 0.3231
# Theoretical density, g/cm3: 8.45
# E_form, kJ/mol of atoms: -14.40
# Symmetry: Pmm2, No. 25

(6)
# Zn2Ni | Alexandria | GGA-PBEsol | relaxed
data_Zn2Ni
_symmetry_space_group_name_H-M 'P 1'
_symmetry_Int_Tables_number 1
_cell_length_a 2.6341
_cell_length_b 3.4894
_cell_length_c 4.5258
_cell_angle_alpha 112.67
_cell_angle_beta 106.92
_cell_angle_gamma 90.00
loop_
_symmetry_equiv_pos_as_xyz
'x,y,z'
loop_
_atom_site_label
_atom_site_fract_x
_atom_site_fract_y
_atom_site_fract_z
Ni1 0.0000 0.0000 0.0000
Zn1 0.3388 0.3388 0.6777
Zn2 0.6612 0.6612 0.3223
# Theoretical density, g/cm3: 8.64
# E_form, kJ/mol of atoms: -18.18
# Symmetry: Immm, No. 71

(7)
# Zn8Ni | Alexandria | GGA-PBEsol | relaxed
data_Zn8Ni
_symmetry_space_group_name_H-M 'P 1'
_symmetry_Int_Tables_number 1
_cell_length_a 3.6702
_cell_length_b 5.9844
_cell_length_c 5.9844
_cell_angle_alpha 84.60
_cell_angle_beta 72.14
_cell_angle_gamma 72.14
loop_
_symmetry_equiv_pos_as_xyz
'x,y,z'
loop_
_atom_site_label
_atom_site_fract_x
_atom_site_fract_y
_atom_site_fract_z
Zn1 0.6702 0.3298 0.3298
Zn2 0.3298 0.6702 0.6702
Zn3 0.0000 0.6702 0.3298
Zn4 0.6619 0.6761 0.0000
Zn5 0.3381 0.3239 0.0000
Ni1 0.0000 0.0000 0.0000
Zn6 0.6619 0.0000 0.6761
Zn7 0.3381 0.0000 0.3239
Zn8 0.0000 0.3298 0.6702
# Theoretical density, g/cm3: 8.12
# E_form, kJ/mol of atoms: -5.56
# Symmetry: I4/mmm, No. 139

(8)
# Zn3Ni | Alexandria | GGA-PBEsol | relaxed
data_Zn3Ni
_symmetry_space_group_name_H-M 'P 1'
_symmetry_Int_Tables_number 1
_cell_length_a 2.6544
_cell_length_b 3.5380
_cell_length_c 5.3575
_cell_angle_alpha 90.00
_cell_angle_beta 90.00
_cell_angle_gamma 90.00
loop_
_symmetry_equiv_pos_as_xyz
'x,y,z'
loop_
_atom_site_label
_atom_site_fract_x
_atom_site_fract_y
_atom_site_fract_z
Zn1 0.5000 0.5000 0.7672
Zn2 0.5000 0.5000 0.2328
Zn3 0.0000 0.0000 0.5000
Ni1 0.0000 0.0000 0.0000
# Theoretical density, g/cm3: 8.41
# E_form, kJ/mol of atoms: -13.57
# Symmetry: Pmmm, No. 47

(9)
# Zn2Ni | Alexandria | GGA-PBEsol | relaxed
data_Zn2Ni
_symmetry_space_group_name_H-M 'P 1'
_symmetry_Int_Tables_number 1
_cell_length_a 3.6542
_cell_length_b 3.6542
_cell_length_c 11.2033
_cell_angle_alpha 99.39
_cell_angle_beta 99.39
_cell_angle_gamma 90.00
loop_
_symmetry_equiv_pos_as_xyz
'x,y,z'
loop_
_atom_site_label
_atom_site_fract_x
_atom_site_fract_y
_atom_site_fract_z
Ni1 0.3313 0.8313 0.6626
Zn1 0.8366 0.3366 0.6731
Zn2 0.6634 0.1634 0.3269
Zn3 0.4134 0.4134 0.8269
Zn4 0.0011 0.5011 0.0021
Zn5 0.7511 0.7511 0.5021
Zn6 0.2489 0.2489 0.4979
Ni2 0.1687 0.6687 0.3374
Zn7 0.4989 0.9989 0.9979
Zn8 0.5866 0.5866 0.1731
Ni3 0.0813 0.0813 0.1626
Ni4 0.9187 0.9187 0.8374
# Theoretical density, g/cm3: 8.65
# E_form, kJ/mol of atoms: -19.14
# Symmetry: I4_1/amd, No. 141

(10)
# Zn3Ni | Alexandria | GGA-PBEsol | relaxed
data_Zn3Ni
_symmetry_space_group_name_H-M 'P 1'
_symmetry_Int_Tables_number 1
_cell_length_a 2.6483
_cell_length_b 4.4912
_cell_length_c 4.9533
_cell_angle_alpha 116.96
_cell_angle_beta 105.51
_cell_angle_gamma 90.00
loop_
_symmetry_equiv_pos_as_xyz
'x,y,z'
loop_
_atom_site_label
_atom_site_fract_x
_atom_site_fract_y
_atom_site_fract_z
Zn1 0.2590 0.5963 0.5179
Zn2 0.5000 0.4894 0.0000
Ni1 0.0000 0.0026 0.0000
Zn3 0.7410 0.0784 0.4821
# Theoretical density, g/cm3: 8.45
# E_form, kJ/mol of atoms: -14.85
# Symmetry: Imm2, No. 44

(11)
# ZnNi | Alexandria | GGA-PBEsol | relaxed
data_ZnNi
_symmetry_space_group_name_H-M 'P 1'
_symmetry_Int_Tables_number 1
_cell_length_a 2.5947
_cell_length_b 4.7750
_cell_length_c 6.0798
_cell_angle_alpha 105.92
_cell_angle_beta 90.00
_cell_angle_gamma 105.77
loop_
_symmetry_equiv_pos_as_xyz
'x,y,z'
loop_
_atom_site_label
_atom_site_fract_x
_atom_site_fract_y
_atom_site_fract_z
Ni1 0.3912 0.7824 0.2711
Zn1 0.7279 0.4557 0.9433
Zn2 0.6732 0.3464 0.3367
Ni2 0.3283 0.6566 0.6723
Zn3 0.0397 0.0795 0.6067
Ni3 0.0063 0.0126 0.0033
# Theoretical density, g/cm3: 8.90
# E_form, kJ/mol of atoms: -18.31
# Symmetry: Cm, No. 8

(12)
# Zn3Ni | Alexandria | GGA-PBEsol | relaxed
data_Zn3Ni
_symmetry_space_group_name_H-M 'P 1'
_symmetry_Int_Tables_number 1
_cell_length_a 2.5687
_cell_length_b 4.8288
_cell_length_c 4.8288
_cell_angle_alpha 116.93
_cell_angle_beta 100.21
_cell_angle_gamma 100.21
loop_
_symmetry_equiv_pos_as_xyz
'x,y,z'
loop_
_atom_site_label
_atom_site_fract_x
_atom_site_fract_y
_atom_site_fract_z
Zn1 0.5000 0.5000 0.0000
Zn2 0.0000 0.5000 0.5000
Zn3 0.5000 0.0000 0.5000
Ni1 0.0000 0.0000 0.0000
# Theoretical density, g/cm3: 8.43
# E_form, kJ/mol of atoms: -9.93
# Symmetry: R-3m, No. 166

(13)
# Zn3Ni | Alexandria | GGA-PBEsol | relaxed
data_Zn3Ni
_symmetry_space_group_name_H-M 'P 1'
_symmetry_Int_Tables_number 1
_cell_length_a 3.6026
_cell_length_b 3.6026
_cell_length_c 4.6082
_cell_angle_alpha 113.01
_cell_angle_beta 113.01
_cell_angle_gamma 90.00
loop_
_symmetry_equiv_pos_as_xyz
'x,y,z'
loop_
_atom_site_label
_atom_site_fract_x
_atom_site_fract_y
_atom_site_fract_z
Zn1 0.2500 0.7500 0.5000
Ni1 0.0000 0.0000 0.0000
Zn2 0.5000 0.5000 0.0000
Zn3 0.7500 0.2500 0.5000
# Theoretical density, g/cm3: 8.49
# E_form, kJ/mol of atoms: -17.60
# Symmetry: I4/mmm, No. 139